1.
5
Lattice="4.562 0.000 0.000 0.000 4.562 0.000 0.000 0.000 4.714" Properties=species:S:1:pos:R:3 comment="Cu2GeRuCl PBE-GGA relaxed" space_group="No. 123" formation_energy_uncorrected_ev_per_atom=0.777 pbc="T T T"
Cu 0.000 2.281 0.000
Cu 2.281 0.000 0.000
Ge 0.000 0.000 0.000
Ru 0.000 0.000 2.357
Cl 2.281 2.281 2.357


2.
10
Lattice="4.945 0.000 0.000 0.000 6.191 5.635 0.000 -6.191 5.635" Properties=species:S:1:pos:R:3 comment="In4Hg3I3 PBE-GGA relaxed" space_group="No. 38" formation_energy_uncorrected_ev_per_atom=-0.203 pbc="T T T"
In 0.000 0.000 0.000
In 0.000 0.000 3.331
In 0.000 -1.753 7.087
In 0.000 1.753 7.087
Hg 0.000 -3.213 4.283
Hg 0.000 3.213 4.283
Hg 2.473 0.000 5.295
I 2.473 -4.096 7.226
I 2.473 0.000 8.903
I 2.473 4.096 7.226


3.
11
Lattice="12.434 -2.145 0.000 12.434 2.145 0.000 -0.411 0.000 8.936" Properties=species:S:1:pos:R:3 comment="Pr4Al2I5 PBE-GGA relaxed" space_group="No. 12" formation_energy_uncorrected_ev_per_atom=-0.858 pbc="T T T"
Pr 0.402 0.000 2.545
Pr 8.115 0.000 4.991
Pr 16.342 0.000 3.946
Pr 24.055 0.000 6.392
Al 11.007 0.000 4.181
Al 13.450 0.000 4.755
I 3.536 0.000 1.594
I 4.942 0.000 6.118
I 12.434 0.000 0.000
I 19.515 0.000 2.818
I 20.920 0.000 7.342


4.
12
Lattice="6.629 0.000 0.000 0.000 18.309 0.000 0.000 0.000 3.501" Properties=species:S:1:pos:R:3 comment="AcSm2DyY2 PBE-GGA relaxed" space_group="No. 58" e_form_kj_per_mol_atoms=27.99 pbc="T T T"
Ac 0.000 0.000 0.000
Ac 3.314 9.155 1.750
Sm 1.288 6.428 1.750
Sm 2.027 15.583 0.000
Sm 4.602 2.726 0.000
Sm 5.341 11.881 1.750
Dy 0.000 9.155 0.000
Dy 3.314 0.000 1.750
Y 1.314 3.463 0.000
Y 2.001 12.618 1.750
Y 4.628 5.691 1.750
Y 5.315 14.846 0.000


5.
4
Lattice="1.634 0.944 8.856 -1.634 0.944 8.856 0.000 -1.887 8.856" Properties=species:S:1:pos:R:3 comment="MgZr2Fe PBE-GGA relaxed" space_group="No. 166" e_form_kj_per_mol_atoms=10.01 pbc="T T T"
Mg 0.000 0.000 0.000
Zr 0.000 0.000 6.181
Zr 0.000 0.000 20.387
Fe 0.000 0.000 13.284


6.
18
Lattice="5.330 0.000 0.000 -2.665 4.616 0.000 0.000 0.000 9.457" Properties=species:S:1:pos:R:3 comment="HfAgIrO6 PBE-GGA relaxed" space_group="No. 163" formation_energy_uncorrected_ev_per_atom=-1.352 pbc="T T T"
Hf 0.000 3.077 2.364
Hf 2.665 1.539 7.093
Ag 0.000 0.000 0.000
Ag 0.000 0.000 4.729
Ir 0.000 3.077 7.093
Ir 2.665 1.539 2.364
O -0.900 1.733 6.009
O -1.614 2.970 8.177
O 0.900 1.733 8.177
O -0.714 4.529 6.009
O 1.951 0.087 1.281
O 1.051 1.646 3.448
O 1.614 2.970 6.009
O 0.714 4.529 8.177
O 3.379 0.087 3.448
O 1.765 2.883 1.281
O 4.279 1.646 1.281
O 3.565 2.883 3.448